KMnP3HO10 PBEsol optimized geometry; crystal system = triclinic; magnetization = 4.00 μB per formula unit; volume = 423.9 Å³ per cell; D(E_F) = 0.0018 states/eV per atom; calculated total energy = -7.2981 eV/atom
1.0
7.1973 0.0296 -0.0054
2.4807 6.9095 0.0019
2.6137 2.2031 8.5362
O P H Mn K
20 6 2 2 2
Direct
0.0493 0.0535 0.2841
0.8474 0.2701 0.0690
0.6378 0.7318 0.4096
0.9764 0.3957 0.6310
0.2139 0.3301 0.1116
0.3244 0.8517 0.6497
0.5994 0.0404 0.8706
0.1691 0.4217 0.8154
0.6756 0.1484 0.3504
0.7860 0.6698 0.8886
0.9507 0.9465 0.7161
0.0237 0.6043 0.3689
0.1526 0.7299 0.9312
0.4006 0.9596 0.1295
0.8634 0.9075 0.1771
0.1365 0.0926 0.8231
0.3176 0.1136 0.3619
0.6824 0.8865 0.6382
0.3623 0.2681 0.5906
0.8308 0.5784 0.1847
0.1482 0.8936 0.7840
0.8363 0.6942 0.2946
0.2575 0.1171 0.2153
0.7426 0.8827 0.7848
0.8518 0.1064 0.2161
0.1637 0.3058 0.7055
0.0001 0.5001 0.4999
0.5002 0.0000 0.9998
0.4999 0.0001 0.5001
0.0000 0.5000 0.0001
0.4281 0.5449 0.2607
0.5719 0.4551 0.7379

Os2Ru PBEsol optimized geometry; crystal system = trigonal; magnetization = 0.00 μB per formula unit; volume = 48.3 Å³ per cell; distance to the lowest polymorph of the same formula = 1450 meV/atom; D(E_F) = 0.8520 states/eV per atom; formation enthalpy at 0 K = 4.306 eV per formula unit; calculated total energy = -10.0994 eV/atom
1.0
-1.7575 1.8060 -2.1744
0.0466 -3.3189 -0.2468
-4.0180 -0.2806 3.0146
Os Ru
2 1
Direct
0.6667 0.3333 0.3575
0.3333 0.6667 0.6425
0.0000 0.0000 0.0000

LiAg5 PBEsol optimized geometry; crystal system = monoclinic; magnetization = 0.00 μB per formula unit; volume = 97.8 Å³ per cell; distance to the lowest polymorph of the same formula = 15 meV/atom; D(E_F) = 0.2809 states/eV per atom; formation enthalpy at 0 K = -0.427 eV per formula unit; calculated total energy = -3.1583 eV/atom
1.0
2.8434 0.0000 0.0000
-1.4217 5.2508 -0.0085
0.0000 -1.8532 6.5520
Ag Li
5 1
Direct
0.3328 0.6655 0.6695
0.6675 0.3351 0.3315
0.9994 0.9988 0.9986
0.0582 0.1165 0.6161
0.3874 0.7748 0.2730
0.7213 0.4426 0.9447